[1]
The following is a DFT calculation (GGA-PBE) of a relaxed structure of PrNdMg4.

Geometry as CIF:
```
data_PrNdMg4
_chemical_formula_sum 'Pr4 Nd4 Mg16'
_cell_length_a 8.692
_cell_length_b 8.692
_cell_length_c 8.692
_cell_angle_alpha 90.00
_cell_angle_beta 90.00
_cell_angle_gamma 90.00
_symmetry_space_group_name_H-M 'F -4 3 m'
_symmetry_Int_Tables_number 216
_symmetry_space_group_name_Hall 'F -4 2 3'
loop_
_atom_site_label
_atom_site_type_symbol
_atom_site_fract_x
_atom_site_fract_y
_atom_site_fract_z
Pr1 Pr 0.000 0.000 0.000
Nd1 Nd 0.250 0.250 0.250
Mg1 Mg 0.125 0.125 0.625
```

=====

[2]
The following is a DFT calculation (GGA-PBE) of a relaxed structure of PrNd8Mg2.

Geometry as CIF:
```
data_PrNd8Mg2
_chemical_formula_sum 'Pr2 Nd16 Mg4'
_cell_length_a 17.388
_cell_length_b 5.394
_cell_length_c 8.510
_cell_angle_alpha 90.00
_cell_angle_beta 112.79
_cell_angle_gamma 90.00
_symmetry_space_group_name_H-M 'C 1 2/m 1'
_symmetry_Int_Tables_number 12
loop_
_symmetry_equiv_pos_as_xyz
'x,y,z'
'-x,-y,-z'
'-x,y,-z'
'x,-y,z'
'x+1/2,y+1/2,z'
'-x+1/2,-y+1/2,-z'
'-x+1/2,y+1/2,-z'
'x+1/2,-y+1/2,z'
loop_
_atom_site_label
_atom_site_type_symbol
_atom_site_fract_x
_atom_site_fract_y
_atom_site_fract_z
Pr1 Pr 0.000 0.000 0.000
Nd1 Nd 0.052 0.500 0.735
Nd2 Nd 0.099 0.000 0.467
Nd3 Nd 0.148 0.500 0.204
Nd4 Nd 0.186 0.000 0.950
Mg1 Mg 0.225 0.500 0.630
```

## Properties
- offset from the most stable computed form (meV per atom) = 0.0

=====

[3]
The following is a DFT calculation (GGA-PBE) of a relaxed structure of Pr8Nd4Mg.

Geometry as CIF:
```
data_Pr8Nd4Mg
_chemical_formula_sum 'Pr24 Nd12 Mg3'
_cell_length_a 11.8432
_cell_length_b 11.8432
_cell_length_c 11.8670
_cell_angle_alpha 90.00
_cell_angle_beta 90.00
_cell_angle_gamma 120.00
_symmetry_space_group_name_H-M 'R -3 m'
_symmetry_Int_Tables_number 166
_symmetry_space_group_name_Hall '-R 3 2"'
loop_
_atom_site_label
_atom_site_type_symbol
_atom_site_fract_x
_atom_site_fract_y
_atom_site_fract_z
Pr1 Pr 0.0000 0.0000 0.2417
Pr2 Pr 0.0004 0.5002 0.3336
Nd1 Nd 0.0000 0.0000 0.0000
Nd2 Nd 0.0000 0.5000 0.0000
Mg1 Mg 0.0000 0.0000 0.5000
```

=====

[4]
The following is a DFT calculation (GGA-PBE) of a relaxed structure of Pr5Nd5Mg2.

Geometry as CIF:
```
data_Pr5Nd5Mg2
_chemical_formula_sum 'Pr10 Nd10 Mg4'
_cell_length_a 15.371
_cell_length_b 5.134
_cell_length_c 11.484
_cell_angle_alpha 90.00
_cell_angle_beta 116.46
_cell_angle_gamma 90.00
_symmetry_space_group_name_H-M 'C 1 2/m 1'
_symmetry_Int_Tables_number 12
loop_
_symmetry_equiv_pos_as_xyz
'x,y,z'
'-x,-y,-z'
'-x,y,-z'
'x,-y,z'
'x+1/2,y+1/2,z'
'-x+1/2,-y+1/2,-z'
'-x+1/2,y+1/2,-z'
'x+1/2,-y+1/2,z'
loop_
_atom_site_label
_atom_site_type_symbol
_atom_site_fract_x
_atom_site_fract_y
_atom_site_fract_z
Pr1 Pr 0.000 0.000 0.000
Pr2 Pr 0.080 0.000 0.744
Pr3 Pr 0.248 0.500 0.740
Nd1 Nd 0.000 0.500 0.500
Nd2 Nd 0.087 0.500 0.260
Nd3 Nd 0.166 0.500 0.997
Mg1 Mg 0.169 0.000 0.500
```

=====

[5]
The following is a DFT calculation (GGA-PBE) of a relaxed structure of Pr3Nd3Mg.

Geometry as CIF:
```
data_Pr3Nd3Mg
_chemical_formula_sum 'Pr6 Nd6 Mg2'
_cell_length_a 9.738
_cell_length_b 5.823
_cell_length_c 9.743
_cell_angle_alpha 90.00
_cell_angle_beta 119.96
_cell_angle_gamma 90.00
_symmetry_space_group_name_H-M 'P 1 21/m 1'
_symmetry_Int_Tables_number 11
loop_
_symmetry_equiv_pos_as_xyz
'x,y,z'
'-x,-y,-z'
'-x,y+1/2,-z'
'x,-y+1/2,z'
loop_
_atom_site_label
_atom_site_type_symbol
_atom_site_fract_x
_atom_site_fract_y
_atom_site_fract_z
Pr1 Pr 0.025 0.250 0.127
Pr2 Pr 0.127 0.750 0.603
Pr3 Pr 0.398 0.750 0.024
Nd1 Nd 0.258 0.750 0.314
Nd2 Nd 0.314 0.250 0.555
Nd3 Nd 0.445 0.250 0.259
Mg1 Mg 0.167 0.250 0.834
```

## Properties
- offset from the most stable computed form (meV per atom) = 0.0

=====

[6]
The following is a DFT calculation (GGA-PBE) of a relaxed structure of PrNd3Mg4.

Geometry as CIF:
```
data_PrNd3Mg4
_chemical_formula_sum 'Pr1 Nd3 Mg4'
_cell_length_a 3.910
_cell_length_b 5.496
_cell_length_c 10.990
_cell_angle_alpha 90.00
_cell_angle_beta 90.00
_cell_angle_gamma 90.00
_symmetry_space_group_name_H-M 'P m m m'
_symmetry_Int_Tables_number 47
loop_
_symmetry_equiv_pos_as_xyz
'x,y,z'
'-x,-y,-z'
'-x,-y,z'
'x,y,-z'
'x,-y,-z'
'-x,y,z'
'-x,y,-z'
'x,-y,z'
loop_
_atom_site_label
_atom_site_type_symbol
_atom_site_fract_x
_atom_site_fract_y
_atom_site_fract_z
Pr1 Pr 0.000 0.000 0.000
Nd1 Nd 0.000 0.000 0.500
Nd2 Nd 0.000 0.500 0.250
Mg1 Mg 0.500 0.000 0.251
Mg2 Mg 0.500 0.500 0.000
Mg3 Mg 0.500 0.500 0.500
```

=====

[7]
The following is a DFT calculation (GGA-PBE) of a relaxed structure of Pr8NdMg2.

Geometry as CIF:
```
data_Pr8NdMg2
_chemical_formula_sum 'Pr16 Nd2 Mg4'
_cell_length_a 9.078
_cell_length_b 16.061
_cell_length_c 5.960
_cell_angle_alpha 90.00
_cell_angle_beta 118.20
_cell_angle_gamma 90.00
_symmetry_space_group_name_H-M 'C 1 2/m 1'
_symmetry_Int_Tables_number 12
loop_
_symmetry_equiv_pos_as_xyz
'x,y,z'
'-x,-y,-z'
'-x,y,-z'
'x,-y,z'
'x+1/2,y+1/2,z'
'-x+1/2,-y+1/2,-z'
'-x+1/2,y+1/2,-z'
'x+1/2,-y+1/2,z'
loop_
_atom_site_label
_atom_site_type_symbol
_atom_site_fract_x
_atom_site_fract_y
_atom_site_fract_z
Pr1 Pr 0.000 0.211 0.000
Pr2 Pr 0.088 0.500 0.794
Pr3 Pr 0.212 0.115 0.643
Nd1 Nd 0.000 0.000 0.000
Mg1 Mg 0.000 0.307 0.500
```

## Properties
- offset from the most stable computed form (meV per atom) = 97.7

=====

[8]
The following is a DFT calculation (GGA-PBE) of a relaxed structure of Pr5Nd6Mg2.

Geometry as CIF:
```
data_Pr5Nd6Mg2
_chemical_formula_sum 'Pr10 Nd12 Mg4'
_cell_length_a 10.776
_cell_length_b 23.239
_cell_length_c 3.608
_cell_angle_alpha 90.00
_cell_angle_beta 90.00
_cell_angle_gamma 90.00
_symmetry_space_group_name_H-M 'P b a m'
_symmetry_Int_Tables_number 55
loop_
_symmetry_equiv_pos_as_xyz
'x,y,z'
'-x,-y,-z'
'-x,-y,z'
'x,y,-z'
'x+1/2,-y+1/2,-z'
'-x+1/2,y+1/2,z'
'-x+1/2,y+1/2,-z'
'x+1/2,-y+1/2,z'
loop_
_atom_site_label
_atom_site_type_symbol
_atom_site_fract_x
_atom_site_fract_y
_atom_site_fract_z
Pr1 Pr 0.000 0.000 0.000
Pr2 Pr 0.083 0.251 0.000
Pr3 Pr 0.168 0.505 0.000
Nd1 Nd 0.018 0.386 0.500
Nd2 Nd 0.147 0.118 0.500
Nd3 Nd 0.168 0.865 0.000
Mg1 Mg 0.167 0.738 0.500
```

=====

[9]
The following is a DFT calculation (GGA-PBE) of a relaxed structure of PrNd7Mg2.

Geometry as CIF:
```
data_PrNd7Mg2
_chemical_formula_sum 'Pr2 Nd14 Mg4'
_cell_length_a 8.923
_cell_length_b 16.582
_cell_length_c 5.466
_cell_angle_alpha 90.00
_cell_angle_beta 90.00
_cell_angle_gamma 90.00
_symmetry_space_group_name_H-M 'C m m m'
_symmetry_Int_Tables_number 65
_symmetry_space_group_name_Hall '-C 2 2'
loop_
_atom_site_label
_atom_site_type_symbol
_atom_site_fract_x
_atom_site_fract_y
_atom_site_fract_z
Pr1 Pr 0.000 0.000 0.000
Nd1 Nd 0.000 0.216 0.000
Nd2 Nd 0.000 0.500 0.500
Nd3 Nd 0.184 0.116 0.500
Mg1 Mg 0.000 0.298 0.500
```

## Properties
- offset from the most stable computed form (meV per atom) = 378.7

=====

[10]
The following is a DFT calculation (GGA-PBE) of a relaxed structure of Pr5Nd12Mg2.

Geometry as CIF:
```
data_Pr5Nd12Mg2
_chemical_formula_sum 'Pr10 Nd24 Mg4'
_cell_length_a 16.012
_cell_length_b 9.356
_cell_length_c 8.769
_cell_angle_alpha 90.00
_cell_angle_beta 93.42
_cell_angle_gamma 90.00
_symmetry_space_group_name_H-M 'C 1 2/m 1'
_symmetry_Int_Tables_number 12
loop_
_symmetry_equiv_pos_as_xyz
'x,y,z'
'-x,-y,-z'
'-x,y,-z'
'x,-y,z'
'x+1/2,y+1/2,z'
'-x+1/2,-y+1/2,-z'
'-x+1/2,y+1/2,-z'
'x+1/2,-y+1/2,z'
loop_
_atom_site_label
_atom_site_type_symbol
_atom_site_fract_x
_atom_site_fract_y
_atom_site_fract_z
Pr1 Pr 0.000 0.000 0.000
Pr2 Pr 0.206 0.500 0.529
Pr3 Pr 0.232 0.000 0.069
Nd1 Nd 0.057 0.500 0.840
Nd2 Nd 0.074 0.000 0.381
Nd3 Nd 0.129 0.306 0.187
Nd4 Nd 0.144 0.184 0.737
Mg1 Mg 0.000 0.337 0.500
```

=====

[11]
The following is a DFT calculation (GGA-PBE) of a relaxed structure of PrNd6Mg2.

Geometry as CIF:
```
data_PrNd6Mg2
_chemical_formula_sum 'Pr4 Nd24 Mg8'
_cell_length_a 19.306
_cell_length_b 11.916
_cell_length_c 5.216
_cell_angle_alpha 90.00
_cell_angle_beta 90.00
_cell_angle_gamma 90.00
_symmetry_space_group_name_H-M 'C m c m'
_symmetry_Int_Tables_number 63
_symmetry_space_group_name_Hall '-C 2c 2'
loop_
_atom_site_label
_atom_site_type_symbol
_atom_site_fract_x
_atom_site_fract_y
_atom_site_fract_z
Pr1 Pr 0.000 0.245 0.250
Nd1 Nd 0.087 0.415 0.750
Nd2 Nd 0.100 0.110 0.750
Nd3 Nd 0.185 0.297 0.250
Mg1 Mg 0.241 0.051 0.250
```

## Properties
- offset from the most stable computed form (meV per atom) = 25.1

=====

[12]
The following is a DFT calculation (GGA-PBE) of a relaxed structure of Pr7NdMg3.

Geometry as CIF:
```
data_Pr7NdMg3
_chemical_formula_sum 'Pr7 Nd1 Mg3'
_cell_length_a 7.2941
_cell_length_b 7.2941
_cell_length_c 8.4501
_cell_angle_alpha 90.00
_cell_angle_beta 90.00
_cell_angle_gamma 120.00
_symmetry_space_group_name_H-M 'P 3 m 1'
_symmetry_Int_Tables_number 156
loop_
_symmetry_equiv_pos_as_xyz
'x,y,z'
'-y,x-y,z'
'-x+y,-x,z'
'-y,-x,z'
'-x+y,y,z'
'x,x-y,z'
loop_
_atom_site_label
_atom_site_type_symbol
_atom_site_fract_x
_atom_site_fract_y
_atom_site_fract_z
Pr1 Pr 0.0000 0.0000 0.0000
Pr2 Pr 0.1647 0.3293 0.3524
Pr3 Pr 0.5021 0.0043 0.9929
Nd1 Nd 0.6667 0.3333 0.3440
Mg1 Mg 0.3347 0.1674 0.6718
```

=====

[13]
The following is a DFT calculation (GGA-PBE) of a relaxed structure of PrNd8Mg2.

Geometry as CIF:
```
data_PrNd8Mg2
_chemical_formula_sum 'Pr2 Nd16 Mg4'
_cell_length_a 9.018
_cell_length_b 15.996
_cell_length_c 5.931
_cell_angle_alpha 90.00
_cell_angle_beta 118.70
_cell_angle_gamma 90.00
_symmetry_space_group_name_H-M 'C 1 2/m 1'
_symmetry_Int_Tables_number 12
loop_
_symmetry_equiv_pos_as_xyz
'x,y,z'
'-x,-y,-z'
'-x,y,-z'
'x,-y,z'
'x+1/2,y+1/2,z'
'-x+1/2,-y+1/2,-z'
'-x+1/2,y+1/2,-z'
'x+1/2,-y+1/2,z'
loop_
_atom_site_label
_atom_site_type_symbol
_atom_site_fract_x
_atom_site_fract_y
_atom_site_fract_z
Pr1 Pr 0.000 0.000 0.000
Nd1 Nd 0.000 0.211 0.000
Nd2 Nd 0.086 0.500 0.794
Nd3 Nd 0.212 0.116 0.645
Mg1 Mg 0.000 0.308 0.500
```

## Properties
- offset from the most stable computed form (meV per atom) = 101.5

=====

[14]
The following is a DFT calculation (GGA-PBE) of a relaxed structure of Pr3Nd3Mg.

Geometry as CIF:
```
data_Pr3Nd3Mg
_chemical_formula_sum 'Pr18 Nd18 Mg6'
_cell_length_a 6.3666
_cell_length_b 6.3666
_cell_length_c 43.2617
_cell_angle_alpha 90.00
_cell_angle_beta 90.00
_cell_angle_gamma 120.00
_symmetry_space_group_name_H-M 'R -3'
_symmetry_Int_Tables_number 148
_symmetry_space_group_name_Hall '-R 3'
loop_
_atom_site_label
_atom_site_type_symbol
_atom_site_fract_x
_atom_site_fract_y
_atom_site_fract_z
Pr1 Pr 0.9997 0.3330 0.2970
Nd1 Nd 0.0001 0.3330 0.4382
Mg1 Mg 0.0000 0.0000 0.1667
```

## Properties
- offset from the most stable computed form (meV per atom) = 87.8

=====

[15]
The following is a DFT calculation (GGA-PBE) of a relaxed structure of Pr6Nd3Mg.

Geometry as CIF:
```
data_Pr6Nd3Mg
_chemical_formula_sum 'Pr24 Nd12 Mg4'
_cell_length_a 7.786
_cell_length_b 18.875
_cell_length_c 9.605
_cell_angle_alpha 90.00
_cell_angle_beta 90.00
_cell_angle_gamma 90.00
_symmetry_space_group_name_H-M 'C m c 21'
_symmetry_Int_Tables_number 36
loop_
_symmetry_equiv_pos_as_xyz
'x,y,z'
'-x,-y,z+1/2'
'-x,y,z'
'x,-y,z+1/2'
'x+1/2,y+1/2,z'
'-x+1/2,-y+1/2,z+1/2'
'-x+1/2,y+1/2,z'
'x+1/2,-y+1/2,z+1/2'
loop_
_atom_site_label
_atom_site_type_symbol
_atom_site_fract_x
_atom_site_fract_y
_atom_site_fract_z
Pr1 Pr 0.000 0.045 0.000
Pr2 Pr 0.000 0.290 0.165
Pr3 Pr 0.238 0.067 0.693
Pr4 Pr 0.243 0.303 0.467
Nd1 Nd 0.000 0.460 0.494
Nd2 Nd 0.247 0.376 0.826
Mg1 Mg 0.000 0.220 0.697
```

## Properties
- offset from the most stable computed form (meV per atom) = 0.0

=====

[16]
The following is a DFT calculation (GGA-PBE) of a relaxed structure of PrNd2Mg6.

Geometry as CIF:
```
data_PrNd2Mg6
_chemical_formula_sum 'Pr1 Nd2 Mg6'
_cell_length_a 9.2364
_cell_length_b 9.2364
_cell_length_c 3.3455
_cell_angle_alpha 90.00
_cell_angle_beta 90.00
_cell_angle_gamma 120.00
_symmetry_space_group_name_H-M 'P 6/m m m'
_symmetry_Int_Tables_number 191
_symmetry_space_group_name_Hall '-P 6 2'
loop_
_atom_site_label
_atom_site_type_symbol
_atom_site_fract_x
_atom_site_fract_y
_atom_site_fract_z
Pr1 Pr 0.0000 0.0000 0.0000
Nd1 Nd 0.3333 0.6667 0.0000
Mg1 Mg 0.0000 0.3338 0.5000
```

=====

[17]
The following is a DFT calculation (GGA-PBE) of a relaxed structure of PrNd2Mg3.

Geometry as CIF:
```
data_PrNd2Mg3
_chemical_formula_sum 'Pr1 Nd2 Mg3'
_cell_length_a 3.895
_cell_length_b 3.895
_cell_length_c 11.712
_cell_angle_alpha 90.00
_cell_angle_beta 90.00
_cell_angle_gamma 90.00
_symmetry_space_group_name_H-M 'P 4/m m m'
_symmetry_Int_Tables_number 123
_symmetry_space_group_name_Hall '-P 4 2'
loop_
_atom_site_label
_atom_site_type_symbol
_atom_site_fract_x
_atom_site_fract_y
_atom_site_fract_z
Pr1 Pr 0.000 0.000 0.000
Nd1 Nd 0.000 0.000 0.335
Mg1 Mg 0.500 0.500 0.169
Mg2 Mg 0.500 0.500 0.500
```

=====

Calculated values (eV/atom) of energy of formation for the records, taken in order: -0.111; 0.007; 0.377; 0.007; 0.017; -0.115; 0.102; 0.110; 0.514; 0.074; 0.085; 0.109; 0.109; 0.105; 0.100; -0.101; -0.112.
Calculated values (μB/f.u.) of magnetization for the records, taken in order: 0.000; 0.000; 0.000; 0.000; 0.002; 0.000; 0.000; 0.000; 0.000; 0.000; 0.000; 0.000; 0.000; 0.000; 0.000; 0.000; 0.000.